Compound: CsLaIn2Pd
Source: Alexandria via LeMat-Bulk
Functional: PBE
Structure: relaxed

Output
Symmetry: No. 123
ΔE_f: 130 meV per atom
Fermi-level density of states: 4.241 states/eV per cell

Unit cell a=5.2997 b=5.8865 c=5.2997 alpha=90.00 beta=90.00 gamma=90.00
Fractional positions:
La1 0.5000 0.5000 0.5000
Cs1 0.0000 0.5000 0.0000
In1 0.0000 0.0000 0.5000
In2 0.5000 0.0000 0.0000
Pd1 0.0000 0.0000 0.0000